## KCo2Sb (PBE)

Data for KCo2Sb after structural relaxation.

## Properties
raw total energy: -4.167 eV per atom
excess energy over the best structure of this formula in the dataset: 589 meV/atom
raw formation energy: 0.6910 eV/atom

Cell lengths 4.6812, 5.7246, 6.9875 Å; angles 90.00, 90.00, 90.00 degrees
Atoms (fractional coordinates):
K1 0.0000 0.0000 0.0000
K2 0.5000 0.5000 0.5000
Co1 0.0000 0.5000 0.1570
Co2 0.0000 0.5000 0.8430
Co3 0.5000 0.0000 0.3430
Co4 0.5000 0.0000 0.6570
Sb1 0.0000 0.0000 0.5000
Sb2 0.5000 0.5000 0.0000



## Tl5Ge2Br12 (PBE)

Data for Tl5Ge2Br12 after structural relaxation.

## Properties
raw total energy: -2.766 eV per atom
raw formation energy: -0.6006 eV/atom

Cell lengths 9.5480, 9.5480, 10.6224 Å; angles 101.63, 101.63, 49.09 degrees
Atoms (fractional coordinates):
Tl1 0.0000 0.0000 0.0000
Tl2 0.2969 0.2969 0.6943
Tl3 0.3034 0.3034 0.1320
Tl4 0.6966 0.6966 0.8680
Tl5 0.7031 0.7031 0.3057
Ge1 0.2476 0.7524 0.5000
Ge2 0.7524 0.2476 0.5000
Br1 0.0073 0.0073 0.3284
Br2 0.0952 0.6061 0.4324
Br3 0.1017 0.5988 0.9091
Br4 0.3939 0.9048 0.5676
Br5 0.4012 0.8983 0.0909
Br6 0.4926 0.4926 0.6746
Br7 0.5074 0.5074 0.3254
Br8 0.5988 0.1017 0.9091
Br9 0.6061 0.0952 0.4324
Br10 0.8983 0.4012 0.0909
Br11 0.9048 0.3939 0.5676
Br12 0.9927 0.9927 0.6716



## BaNa2SrI6 (PBE)

Data for BaNa2SrI6 after structural relaxation.

## Properties
raw total energy: -3.084 eV per atom
raw formation energy: -1.5298 eV/atom

Cell lengths 8.9306, 8.9306, 8.9306 Å; angles 55.84, 55.84, 55.84 degrees
Atoms (fractional coordinates):
Ba1 0.0000 0.0000 0.0000
Na1 0.3005 0.3005 0.3005
Na2 0.8045 0.8045 0.8045
Sr1 0.4952 0.4952 0.4952
I1 0.0829 0.6821 0.4289
I2 0.2036 0.5778 0.9064
I3 0.4289 0.0829 0.6821
I4 0.5778 0.9064 0.2036
I5 0.6821 0.4289 0.0829
I6 0.9064 0.2036 0.5778



## EuThRh2 (PBE)

Data for EuThRh2 after structural relaxation.

## Properties
raw total energy: -8.704 eV per atom

Cell lengths 4.0130, 4.0130, 21.0624 Å; angles 90.00, 90.00, 120.00 degrees
Atoms (fractional coordinates):
Eu1 0.0000 0.0000 0.0000
Eu2 0.3333 0.6667 0.6667
Eu3 0.6667 0.3333 0.3333
Th1 0.0000 0.0000 0.5000
Th2 0.3333 0.6667 0.1667
Th3 0.6667 0.3333 0.8333
Rh1 0.0000 0.0000 0.2434
Rh2 0.0000 0.0000 0.7566
Rh3 0.3333 0.6667 0.4233
Rh4 0.3333 0.6667 0.9101
Rh5 0.6667 0.3333 0.0899
Rh6 0.6667 0.3333 0.5767



## OsPbCl2 (PBE)

Data for OsPbCl2 after structural relaxation.

## Properties
raw total energy: -3.746 eV per atom
excess energy over the best structure of this formula in the dataset: 801 meV/atom
raw formation energy: 0.9122 eV/atom

Cell lengths 5.1180, 5.1180, 3.2786 Å; angles 90.00, 90.00, 90.00 degrees
Atoms (fractional coordinates):
Os1 0.0000 0.0000 0.0000
Pb1 0.5000 0.5000 0.0000
Cl1 0.0000 0.5000 0.5000
Cl2 0.5000 0.0000 0.5000



## Mg4Al3 (PBE)

Data for Mg4Al3 after structural relaxation.

## Properties
raw total energy: -2.505 eV per atom
excess energy over the best structure of this formula in the dataset: 0 meV/atom

Cell lengths 5.3679, 5.3679, 5.6979 Å; angles 90.00, 90.00, 120.00 degrees
Atoms (fractional coordinates):
Mg1 0.0000 0.0000 0.2452
Mg2 0.0000 0.0000 0.7548
Mg3 0.3333 0.6667 0.0000
Mg4 0.6667 0.3333 0.0000
Al1 0.0000 0.5000 0.5000
Al2 0.5000 0.0000 0.5000
Al3 0.5000 0.5000 0.5000



## Li3HfBe (PBE)

Data for Li3HfBe after structural relaxation.

## Properties
raw total energy: -3.195 eV per atom
excess energy over the best structure of this formula in the dataset: 0 meV/atom

Cell lengths 4.2882, 4.2882, 4.2882 Å; angles 90.00, 90.00, 90.00 degrees
Atoms (fractional coordinates):
Li1 0.0000 0.0000 0.5000
Li2 0.0000 0.5000 0.0000
Li3 0.5000 0.0000 0.0000
Hf1 0.5000 0.5000 0.5000
Be1 0.0000 0.0000 0.0000



## Nb14IrPt (PBE)

Data for Nb14IrPt after structural relaxation.

## Properties
raw total energy: -9.940 eV per atom

Cell lengths 5.7249, 5.7249, 9.1709 Å; angles 90.00, 90.00, 108.96 degrees
Atoms (fractional coordinates):
Nb1 0.0000 0.0000 0.0000
Nb2 0.0000 0.5000 0.0000
Nb3 0.0000 0.5000 0.5000
Nb4 0.2491 0.7509 0.2554
Nb5 0.2491 0.7509 0.7446
Nb6 0.2539 0.2539 0.2554
Nb7 0.2539 0.2539 0.7446
Nb8 0.5000 0.0000 0.0000
Nb9 0.5000 0.0000 0.5000
Nb10 0.5000 0.5000 0.0000
Nb11 0.7461 0.7461 0.2554
Nb12 0.7461 0.7461 0.7446
Nb13 0.7509 0.2491 0.2554
Nb14 0.7509 0.2491 0.7446
Ir1 0.5000 0.5000 0.5000
Pt1 0.0000 0.0000 0.5000